# 1
Entry from Alexandria: CdReGe2Br at its PBEsol-relaxed geometry (meta-GGA SCAN).

ΔE_f (raw), eV/atom: 1.812
Size of the total moment, μB per cell: 0.001
E_tot, eV/atom: -30.018

Cell: 5.135 5.135 4.514 Å, 90.00 90.00 90.00°
Space group P4/mmm (No. 123)
Symmetry-distinct sites (fractional):
Cd (0.000, 0.000, 0.000) [1 per cell]
Re (0.500, 0.500, 0.000) [1 per cell]
Ge (0.000, 0.500, 0.500) [2 per cell]
Br (0.500, 0.500, 0.500) [1 per cell]

=====

# 2
Entry from Alexandria: CdHBr3 at its PBEsol-relaxed geometry (meta-GGA SCAN).

Size of the total moment, μB per cell: 0.000
E_tot, eV/atom: -18.125

Cell: 4.658 4.658 4.658 Å, 90.00 90.00 90.00°
Space group Pm-3m (No. 221)
Symmetry-distinct sites (fractional):
Cd (0.000, 0.000, 0.000) [1 per cell]
H (0.500, 0.500, 0.500) [1 per cell]
Br (0.000, 0.500, 0.500) [3 per cell]

=====

# 3
Entry from Alexandria: Cd3HBr at its PBEsol-relaxed geometry (meta-GGA SCAN).

Size of the total moment, μB per cell: 0.401
E_tot, eV/atom: -21.903

Cell: 5.720 5.720 5.720 Å, 90.00 90.00 90.00°
Space group Pm-3m (No. 221)
Symmetry-distinct sites (fractional):
Cd (0.000, 0.000, 0.500) [3 per cell]
H (0.500, 0.500, 0.500) [1 per cell]
Br (0.000, 0.000, 0.000) [1 per cell]

=====

# 4
Entry from Alexandria: HfCd2BrO at its PBEsol-relaxed geometry (meta-GGA SCAN).

ΔE_f (raw), eV/atom: -0.550
Size of the total moment, μB per cell: 0.000
E_tot, eV/atom: -30.389

Cell: 5.478 5.478 3.890 Å, 90.00 90.00 90.00°
Space group P4/mmm (No. 123)
Symmetry-distinct sites (fractional):
Hf (0.000, 0.000, 0.000) [1 per cell]
Cd (0.000, 0.500, 0.500) [2 per cell]
Br (0.500, 0.500, 0.000) [1 per cell]
O (0.000, 0.000, 0.500) [1 per cell]

=====

# 5
Entry from Alexandria: Cd2HgBr2 at its PBEsol-relaxed geometry (meta-GGA SCAN).

Offset from the most stable computed form, eV per atom: 0.036
ΔE_f (raw), eV/atom: -0.475
Size of the total moment, μB per cell: 0.000
E_tot, eV/atom: -34.057

Cell: 8.277 8.277 4.122 Å, 90.00 90.00 90.00°
Space group P4/mbm (No. 127)
Symmetry-distinct sites (fractional):
Cd (0.113, 0.387, 0.000) [4 per cell]
Hg (0.000, 0.000, 0.000) [2 per cell]
Br (0.236, 0.736, 0.500) [4 per cell]

=====

# 6
Entry from Alexandria: Cd2HgBr2 at its PBEsol-relaxed geometry (meta-GGA SCAN).

Offset from the most stable computed form, eV per atom: 0.000
ΔE_f (raw), eV/atom: -0.511
Size of the total moment, μB per cell: 0.000
E_tot, eV/atom: -34.093

Cell: 5.024 5.024 11.029 Å, 90.00 90.00 90.00°
Space group I4/mmm (No. 139)
Symmetry-distinct sites (fractional):
Cd (0.000, 0.000, 0.120) [4 per cell]
Hg (0.000, 0.000, 0.500) [2 per cell]
Br (0.000, 0.500, 0.250) [4 per cell]

=====

# 7
Entry from Alexandria: CdHgBrO2 at its PBEsol-relaxed geometry (meta-GGA SCAN).

ΔE_f (raw), eV/atom: 0.376
Size of the total moment, μB per cell: 0.000
E_tot, eV/atom: -25.725

Cell: 3.975 3.975 5.640 Å, 90.00 90.00 90.00°
Space group P4/mmm (No. 123)
Symmetry-distinct sites (fractional):
Cd (0.000, 0.000, 0.000) [1 per cell]
Hg (0.500, 0.500, 0.000) [1 per cell]
Br (0.000, 0.000, 0.500) [1 per cell]
O (0.000, 0.500, 0.500) [2 per cell]

=====

# 8
Entry from Alexandria: CdSiHgBr2 at its PBEsol-relaxed geometry (meta-GGA SCAN).

ΔE_f (raw), eV/atom: 0.378
Size of the total moment, μB per cell: 1.726
E_tot, eV/atom: -29.125

Cell: 5.320 5.320 5.542 Å, 90.00 90.00 90.00°
Space group P4/mmm (No. 123)
Symmetry-distinct sites (fractional):
Cd (0.000, 0.000, 0.000) [1 per cell]
Si (0.500, 0.500, 0.500) [1 per cell]
Hg (0.000, 0.000, 0.500) [1 per cell]
Br (0.000, 0.500, 0.000) [2 per cell]

=====

# 9
Entry from Alexandria: Rb2CdI2Br2 at its PBEsol-relaxed geometry (meta-GGA SCAN).

ΔE_f (raw), eV/atom: -1.407
Size of the total moment, μB per cell: 0.000
E_tot, eV/atom: -27.735

Cell: 11.546 11.615 8.383 Å, 90.00 90.00 90.00°
Space group Ama2 (No. 40)
Symmetry-distinct sites (fractional):
Rb (0.000, 0.000, 0.000) [4 per cell]
Rb (0.250, 0.182, 0.453) [4 per cell]
Cd (0.250, 0.281, 0.956) [4 per cell]
I (0.052, 0.296, 0.143) [8 per cell]
Br (0.250, 0.077, 0.820) [4 per cell]
Br (0.250, 0.431, 0.724) [4 per cell]

=====

# 10
Entry from Alexandria: Cd2InBr at its PBEsol-relaxed geometry (meta-GGA SCAN).

Offset from the most stable computed form, eV per atom: 0.071
ΔE_f (raw), eV/atom: -0.079
Size of the total moment, μB per cell: 0.000
E_tot, eV/atom: -28.498

Cell: 5.403 5.403 3.322 Å, 90.00 90.00 90.00°
Space group P4/mmm (No. 123)
Symmetry-distinct sites (fractional):
Cd (0.000, 0.500, 0.000) [2 per cell]
In (0.000, 0.000, 0.500) [1 per cell]
Br (0.500, 0.500, 0.500) [1 per cell]

=====

# 11
Entry from Alexandria: Cd2InBr at its PBEsol-relaxed geometry (meta-GGA SCAN).

Offset from the most stable computed form, eV per atom: 0.000
ΔE_f (raw), eV/atom: -0.150
Size of the total moment, μB per cell: 0.000
E_tot, eV/atom: -28.569

Cell: 3.615 3.615 7.533 Å, 90.00 90.00 90.00°
Space group P4mm (No. 99)
Symmetry-distinct sites (fractional):
Cd (0.000, 0.000, 0.000) [1 per cell]
Cd (0.500, 0.500, 0.221) [1 per cell]
In (0.000, 0.000, 0.458) [1 per cell]
Br (0.500, 0.500, 0.760) [1 per cell]

=====

# 12
Entry from Alexandria: CdIrBr at its PBEsol-relaxed geometry (meta-GGA SCAN).

Offset from the most stable computed form, eV per atom: 0.000
ΔE_f (raw), eV/atom: 0.692
Size of the total moment, μB per cell: 0.000
E_tot, eV/atom: -39.632

Cell: 4.4672 4.4672 3.1608 Å, 90.00 90.00 120.00°
Space group P-6m2 (No. 187)
Symmetry-distinct sites (fractional):
Cd (0.0000, 0.0000, 0.0000) [1 per cell]
Ir (0.3333, 0.6667, 0.5000) [1 per cell]
Br (0.6667, 0.3333, 0.5000) [1 per cell]

=====

# 13
Entry from Alexandria: CdIr2Br at its PBEsol-relaxed geometry (meta-GGA SCAN).

Offset from the most stable computed form, eV per atom: 0.110
ΔE_f (raw), eV/atom: 0.959
Size of the total moment, μB per cell: 0.000
E_tot, eV/atom: -47.059

Cell: 2.946 2.946 7.508 Å, 90.00 90.00 90.00°
Space group P4/mmm (No. 123)
Symmetry-distinct sites (fractional):
Cd (0.000, 0.000, 0.000) [1 per cell]
Ir (0.500, 0.500, 0.265) [2 per cell]
Br (0.000, 0.000, 0.500) [1 per cell]

=====

# 14
Entry from Alexandria: CdIrBr at its PBEsol-relaxed geometry (meta-GGA SCAN).

Offset from the most stable computed form, eV per atom: 0.091
ΔE_f (raw), eV/atom: 0.783
Size of the total moment, μB per cell: 0.000
E_tot, eV/atom: -39.541

Cell: 6.300 6.300 6.300 Å, 90.00 90.00 90.00°
Space group F-43m (No. 216)
Symmetry-distinct sites (fractional):
Cd (0.000, 0.000, 0.000) [4 per cell]
Ir (0.250, 0.250, 0.750) [4 per cell]
Br (0.000, 0.000, 0.500) [4 per cell]

=====

# 15
Entry from Alexandria: CdIr2Br at its PBEsol-relaxed geometry (meta-GGA SCAN).

Offset from the most stable computed form, eV per atom: 0.000
ΔE_f (raw), eV/atom: 0.849
Size of the total moment, μB per cell: 0.000
E_tot, eV/atom: -47.169

Cell: 2.902 4.776 9.852 Å, 90.00 90.00 90.00°
Space group Imm2 (No. 44)
Symmetry-distinct sites (fractional):
Cd (0.000, 0.000, 0.000) [2 per cell]
Ir (0.000, 0.000, 0.490) [2 per cell]
Ir (0.000, 0.500, 0.766) [2 per cell]
Br (0.000, 0.500, 0.211) [2 per cell]

=====

# 16
Entry from Alexandria: CdIrSe2Br at its PBEsol-relaxed geometry (meta-GGA SCAN).

ΔE_f (raw), eV/atom: 1.345
Size of the total moment, μB per cell: 3.116
E_tot, eV/atom: -30.881

Cell: 5.066 5.066 5.120 Å, 90.00 90.00 90.00°
Space group P4/mmm (No. 123)
Symmetry-distinct sites (fractional):
Cd (0.000, 0.000, 0.000) [1 per cell]
Ir (0.500, 0.500, 0.500) [1 per cell]
Se (0.000, 0.500, 0.000) [2 per cell]
Br (0.000, 0.000, 0.500) [1 per cell]

=====

# 17
Entry from Alexandria: CdTc2IrBr at its PBEsol-relaxed geometry (meta-GGA SCAN).

ΔE_f (raw), eV/atom: 2.591
Size of the total moment, μB per cell: 9.013
E_tot, eV/atom: -35.628

Cell: 5.029 5.029 4.857 Å, 90.00 90.00 90.00°
Space group P4/mmm (No. 123)
Symmetry-distinct sites (fractional):
Cd (0.000, 0.000, 0.000) [1 per cell]
Tc (0.000, 0.500, 0.000) [2 per cell]
Ir (0.500, 0.500, 0.500) [1 per cell]
Br (0.000, 0.000, 0.500) [1 per cell]

=====

# 18
Entry from Alexandria: TiCdIr2Br at its PBEsol-relaxed geometry (meta-GGA SCAN).

ΔE_f (raw), eV/atom: 1.863
Size of the total moment, μB per cell: 0.785
E_tot, eV/atom: -39.758

Cell: 4.851 4.851 5.017 Å, 90.00 90.00 90.00°
Space group P4/mmm (No. 123)
Symmetry-distinct sites (fractional):
Ti (0.000, 0.000, 0.000) [1 per cell]
Cd (0.000, 0.000, 0.500) [1 per cell]
Ir (0.000, 0.500, 0.500) [2 per cell]
Br (0.500, 0.500, 0.000) [1 per cell]

=====

# 19
Entry from Alexandria: KCdBr2 at its PBEsol-relaxed geometry (meta-GGA SCAN).

Offset from the most stable computed form, eV per atom: 0.280
ΔE_f (raw), eV/atom: -0.667
Size of the total moment, μB per cell: 3.640
E_tot, eV/atom: -20.083

Cell: 7.727 7.727 7.727 Å, 90.00 90.00 90.00°
Space group F-43m (No. 216)
Symmetry-distinct sites (fractional):
K (0.000, 0.000, 0.000) [4 per cell]
Cd (0.250, 0.250, 0.250) [4 per cell]
Br (0.000, 0.000, 0.500) [4 per cell]
Br (0.250, 0.250, 0.750) [4 per cell]

=====

# 20
Entry from Alexandria: KCd2Br at its PBEsol-relaxed geometry (meta-GGA SCAN).

Offset from the most stable computed form, eV per atom: 0.000
ΔE_f (raw), eV/atom: -0.656
Size of the total moment, μB per cell: 0.000
E_tot, eV/atom: -22.810

Cell: 4.320 4.320 12.811 Å, 90.00 90.00 90.00°
Space group I4/mmm (No. 139)
Symmetry-distinct sites (fractional):
K (0.000, 0.000, 0.000) [2 per cell]
Cd (0.000, 0.500, 0.250) [4 per cell]
Br (0.000, 0.000, 0.500) [2 per cell]